(1)
Material: Sc2SnBr2
Method: DFT, GGA-PBE
State: relaxed

```
data_Sc2SnBr2
_cell_length_a 4.340
_cell_length_b 4.340
_cell_length_c 13.475
_cell_angle_alpha 90.00
_cell_angle_beta 90.00
_cell_angle_gamma 90.00
_space_group_name_H-M_alt 'I 4/m m m'
_space_group_IT_number 139
_space_group_name_Hall '-I 4 2'
loop_
_atom_site_label
_atom_site_type_symbol
_atom_site_fract_x
_atom_site_fract_y
_atom_site_fract_z
Sc1 Sc 0.000 0.000 0.118
Sn1 Sn 0.000 0.000 0.500
Br1 Br 0.000 0.500 0.250
```

Calculated values
- energy relative to the elements, uncorrected (eV/atom) = -0.6692

***

(2)
Material: Rb3Ac2ThS6
Method: DFT, GGA-PBE
State: relaxed

```
data_Rb3Ac2ThS6
_cell_length_a 7.544
_cell_length_b 13.063
_cell_length_c 8.133
_cell_angle_alpha 90.00
_cell_angle_beta 108.04
_cell_angle_gamma 90.00
_space_group_name_H-M_alt 'C 1 2/m 1'
_space_group_IT_number 12
loop_
_space_group_symop_operation_xyz
'x,y,z'
'-x,-y,-z'
'-x,y,-z'
'x,-y,z'
'x+1/2,y+1/2,z'
'-x+1/2,-y+1/2,-z'
'-x+1/2,y+1/2,-z'
'x+1/2,-y+1/2,z'
loop_
_atom_site_label
_atom_site_type_symbol
_atom_site_fract_x
_atom_site_fract_y
_atom_site_fract_z
Rb1 Rb 0.000 0.000 0.000
Rb2 Rb 0.000 0.332 0.000
Ac1 Ac 0.000 0.167 0.500
Th1 Th 0.000 0.500 0.500
S1 S 0.225 0.342 0.703
S2 S 0.248 0.500 0.297
```

Calculated values
- energy relative to the elements, uncorrected (eV/atom) = -1.7884

***

(3)
Material: K3H4Pd
Method: DFT, GGA-PBE
State: relaxed

```
data_K3H4Pd
_cell_length_a 5.939
_cell_length_b 9.242
_cell_length_c 5.436
_cell_angle_alpha 90.00
_cell_angle_beta 90.00
_cell_angle_gamma 90.00
_space_group_name_H-M_alt 'I m m 2'
_space_group_IT_number 44
loop_
_space_group_symop_operation_xyz
'x,y,z'
'-x,-y,z'
'-x,y,z'
'x,-y,z'
'x+1/2,y+1/2,z+1/2'
'-x+1/2,-y+1/2,z+1/2'
'-x+1/2,y+1/2,z+1/2'
'x+1/2,-y+1/2,z+1/2'
loop_
_atom_site_label
_atom_site_type_symbol
_atom_site_fract_x
_atom_site_fract_y
_atom_site_fract_z
K1 K 0.000 0.000 0.000
K2 K 0.000 0.258 0.481
H1 H 0.000 0.316 0.974
H2 H 0.218 0.000 0.521
Pd1 Pd 0.000 0.500 0.993
```

Calculated values
- final energy (eV per atom) = -2.922

***

(4)
Material: La2Pm6PrY3
Method: DFT, GGA-PBE
State: relaxed

```
data_La2Pm6PrY3
_cell_length_a 6.333
_cell_length_b 10.978
_cell_length_c 12.100
_cell_angle_alpha 90.00
_cell_angle_beta 100.08
_cell_angle_gamma 90.00
_space_group_name_H-M_alt 'C 1 2/m 1'
_space_group_IT_number 12
loop_
_space_group_symop_operation_xyz
'x,y,z'
'-x,-y,-z'
'-x,y,-z'
'x,-y,z'
'x+1/2,y+1/2,z'
'-x+1/2,-y+1/2,-z'
'-x+1/2,y+1/2,-z'
'x+1/2,-y+1/2,z'
loop_
_atom_site_label
_atom_site_type_symbol
_atom_site_fract_x
_atom_site_fract_y
_atom_site_fract_z
La1 La 0.000 0.166 0.000
Pm1 Pm 0.248 0.167 0.745
Pm2 Pm 0.248 0.500 0.745
Pr1 Pr 0.000 0.500 0.000
Y1 Y 0.000 0.000 0.500
Y2 Y 0.000 0.333 0.500
```

Calculated values
- E_form (eV/f.u.) = 0.2

***

(5)
Material: SO2F2
Method: DFT, GGA-PBE
State: relaxed

```
data_SO2F2
_cell_length_a 3.509
_cell_length_b 3.509
_cell_length_c 4.507
_cell_angle_alpha 90.00
_cell_angle_beta 90.00
_cell_angle_gamma 90.00
_space_group_name_H-M_alt 'P 4/m m m'
_space_group_IT_number 123
_space_group_name_Hall '-P 4 2'
loop_
_atom_site_label
_atom_site_type_symbol
_atom_site_fract_x
_atom_site_fract_y
_atom_site_fract_z
S1 S 0.000 0.000 0.000
O1 O 0.000 0.500 0.500
F1 F 0.500 0.500 0.000
F2 F 0.500 0.500 0.500
```

Calculated values
- energy relative to the elements, uncorrected (eV/atom) = 1.3191

***

(6)
Material: CaTaSi2
Method: DFT, GGA-PBE
State: relaxed

```
data_CaTaSi2
_cell_length_a 3.484
_cell_length_b 3.829
_cell_length_c 12.463
_cell_angle_alpha 90.00
_cell_angle_beta 90.00
_cell_angle_gamma 90.00
_space_group_name_H-M_alt 'I m m 2'
_space_group_IT_number 44
loop_
_space_group_symop_operation_xyz
'x,y,z'
'-x,-y,z'
'-x,y,z'
'x,-y,z'
'x+1/2,y+1/2,z+1/2'
'-x+1/2,-y+1/2,z+1/2'
'-x+1/2,y+1/2,z+1/2'
'x+1/2,-y+1/2,z+1/2'
loop_
_atom_site_label
_atom_site_type_symbol
_atom_site_fract_x
_atom_site_fract_y
_atom_site_fract_z
Ca1 Ca 0.000 0.000 0.000
Ta1 Ta 0.000 0.500 0.234
Si1 Si 0.000 0.000 0.379
Si2 Si 0.000 0.500 0.731
```

Calculated values
- energy relative to the elements, uncorrected (eV/atom) = -0.0963

***

(7)
Material: Ca4Ho3ScTe8
Method: DFT, GGA-PBE
State: relaxed

```
data_Ca4Ho3ScTe8
_cell_length_a 8.7221
_cell_length_b 8.7221
_cell_length_c 21.8371
_cell_angle_alpha 90.00
_cell_angle_beta 90.00
_cell_angle_gamma 120.00
_space_group_name_H-M_alt 'R -3 m'
_space_group_IT_number 166
_space_group_name_Hall '-R 3 2"'
loop_
_atom_site_label
_atom_site_type_symbol
_atom_site_fract_x
_atom_site_fract_y
_atom_site_fract_z
Ca1 Ca 0.0000 0.0000 0.0000
Ca2 Ca 0.0000 0.5000 0.0000
Ho1 Ho 0.0000 0.5000 0.5000
Sc1 Sc 0.0000 0.0000 0.5000
Te1 Te 0.0000 0.0000 0.2479
Te2 Te 0.0056 0.5028 0.2466
```

Calculated values
- energy relative to the elements, uncorrected (eV/atom) = -1.4148

***

(8)
Material: Tb3Pm2SmSe6
Method: DFT, GGA-PBE
State: relaxed

```
data_Tb3Pm2SmSe6
_cell_length_a 18.088
_cell_length_b 4.119
_cell_length_c 8.341
_cell_angle_alpha 90.00
_cell_angle_beta 104.02
_cell_angle_gamma 90.00
_space_group_name_H-M_alt 'C 1 2/m 1'
_space_group_IT_number 12
loop_
_space_group_symop_operation_xyz
'x,y,z'
'-x,-y,-z'
'-x,y,-z'
'x,-y,z'
'x+1/2,y+1/2,z'
'-x+1/2,-y+1/2,-z'
'-x+1/2,y+1/2,-z'
'x+1/2,-y+1/2,z'
loop_
_atom_site_label
_atom_site_type_symbol
_atom_site_fract_x
_atom_site_fract_y
_atom_site_fract_z
Tb1 Tb 0.000 0.000 0.000
Tb2 Tb 0.167 0.500 0.333
Pm1 Pm 0.167 0.500 0.834
Sm1 Sm 0.000 0.000 0.500
Se1 Se 0.002 0.500 0.246
Se2 Se 0.164 0.000 0.088
Se3 Se 0.168 0.000 0.577
```

Calculated values
- energy relative to the elements, uncorrected (eV/atom) = -1.8030

***

(9)
Material: BaMgSb2Rh
Method: DFT, GGA-PBE
State: relaxed

```
data_BaMgSb2Rh
_cell_length_a 6.067
_cell_length_b 6.067
_cell_length_c 5.997
_cell_angle_alpha 90.00
_cell_angle_beta 90.00
_cell_angle_gamma 90.00
_space_group_name_H-M_alt 'P 4/m m m'
_space_group_IT_number 123
_space_group_name_Hall '-P 4 2'
loop_
_atom_site_label
_atom_site_type_symbol
_atom_site_fract_x
_atom_site_fract_y
_atom_site_fract_z
Ba1 Ba 0.000 0.000 0.000
Mg1 Mg 0.000 0.000 0.500
Sb1 Sb 0.000 0.500 0.000
Rh1 Rh 0.500 0.500 0.500
```

Calculated values
- energy relative to the elements, uncorrected (eV/atom) = 1.5924

***

(10)
Material: LaZnSi
Method: DFT, GGA-PBE
State: relaxed

```
data_LaZnSi
_cell_length_a 6.654
_cell_length_b 6.654
_cell_length_c 6.654
_cell_angle_alpha 90.00
_cell_angle_beta 90.00
_cell_angle_gamma 90.00
_space_group_name_H-M_alt 'F -4 3 m'
_space_group_IT_number 216
_space_group_name_Hall 'F -4 2 3'
loop_
_atom_site_label
_atom_site_type_symbol
_atom_site_fract_x
_atom_site_fract_y
_atom_site_fract_z
La1 La 0.000 0.000 0.000
Zn1 Zn 0.000 0.000 0.500
Si1 Si 0.250 0.250 0.750
```

Calculated values
- energy relative to the elements, uncorrected (eV/atom) = -0.2909

***

(11)
Material: NdSm2AgHg4
Method: DFT, GGA-PBE
State: relaxed

```
data_NdSm2AgHg4
_cell_length_a 5.1511
_cell_length_b 5.1511
_cell_length_c 27.1419
_cell_angle_alpha 90.00
_cell_angle_beta 90.00
_cell_angle_gamma 120.00
_space_group_name_H-M_alt 'R -3 m'
_space_group_IT_number 166
_space_group_name_Hall '-R 3 2"'
loop_
_atom_site_label
_atom_site_type_symbol
_atom_site_fract_x
_atom_site_fract_y
_atom_site_fract_z
Nd1 Nd 0.0000 0.0000 0.0000
Sm1 Sm 0.0000 0.0000 0.2398
Ag1 Ag 0.0000 0.0000 0.5000
Hg1 Hg 0.0000 0.0000 0.1252
Hg2 Hg 0.0000 0.0000 0.3771
```

Calculated values
- E_form (eV/f.u.) = -3.1

***

(12)
Material: ZrAg2P
Method: DFT, GGA-PBE
State: relaxed

```
data_ZrAg2P
_cell_length_a 5.344
_cell_length_b 9.710
_cell_length_c 2.903
_cell_angle_alpha 90.00
_cell_angle_beta 90.00
_cell_angle_gamma 90.00
_space_group_name_H-M_alt 'C m m m'
_space_group_IT_number 65
_space_group_name_Hall '-C 2 2'
loop_
_atom_site_label
_atom_site_type_symbol
_atom_site_fract_x
_atom_site_fract_y
_atom_site_fract_z
Zr1 Zr 0.000 0.000 0.000
Ag1 Ag 0.250 0.250 0.500
P1 P 0.000 0.500 0.000
```

Calculated values
- E_form (eV/f.u.) = 0.3

***

(13)
Material: Rb2LiTeCl6
Method: DFT, GGA-PBE
State: relaxed

```
data_Rb2LiTeCl6
_cell_length_a 7.6428
_cell_length_b 7.6428
_cell_length_c 35.6603
_cell_angle_alpha 90.00
_cell_angle_beta 90.00
_cell_angle_gamma 120.00
_space_group_name_H-M_alt 'R -3 m'
_space_group_IT_number 166
_space_group_name_Hall '-R 3 2"'
loop_
_atom_site_label
_atom_site_type_symbol
_atom_site_fract_x
_atom_site_fract_y
_atom_site_fract_z
Rb1 Rb 0.0000 0.0000 0.1230
Rb2 Rb 0.0000 0.0000 0.2940
Li1 Li 0.0000 0.0000 0.4104
Te1 Te 0.0000 0.0000 0.0000
Te2 Te 0.0000 0.0000 0.5000
Cl1 Cl 0.0036 0.5018 0.8739
Cl2 Cl 0.0239 0.5120 0.2951
```

Calculated values
- energy relative to the elements, uncorrected (eV/atom) = -1.2527

***

(14)
Material: Tm2Al2Zn
Method: DFT, GGA-PBE
State: relaxed

```
data_Tm2Al2Zn
_cell_length_a 10.560
_cell_length_b 4.435
_cell_length_c 10.337
_cell_angle_alpha 90.00
_cell_angle_beta 116.71
_cell_angle_gamma 90.00
_space_group_name_H-M_alt 'C 1 2/m 1'
_space_group_IT_number 12
loop_
_space_group_symop_operation_xyz
'x,y,z'
'-x,-y,-z'
'-x,y,-z'
'x,-y,z'
'x+1/2,y+1/2,z'
'-x+1/2,-y+1/2,-z'
'-x+1/2,y+1/2,-z'
'x+1/2,-y+1/2,z'
loop_
_atom_site_label
_atom_site_type_symbol
_atom_site_fract_x
_atom_site_fract_y
_atom_site_fract_z
Tm1 Tm 0.017 0.000 0.333
Tm2 Tm 0.181 0.000 0.095
Al1 Al 0.018 0.500 0.880
Al2 Al 0.142 0.500 0.568
Zn1 Zn 0.226 0.500 0.343
```

Calculated values
- E_form (eV/f.u.) = -2.1

***

(15)
Material: Ga3CuTc
Method: DFT, GGA-PBE
State: relaxed

```
data_Ga3CuTc
_cell_length_a 4.789
_cell_length_b 4.789
_cell_length_c 4.789
_cell_angle_alpha 90.00
_cell_angle_beta 90.00
_cell_angle_gamma 90.00
_space_group_name_H-M_alt 'P m -3 m'
_space_group_IT_number 221
_space_group_name_Hall '-P 4 2 3'
loop_
_atom_site_label
_atom_site_type_symbol
_atom_site_fract_x
_atom_site_fract_y
_atom_site_fract_z
Ga1 Ga 0.000 0.000 0.500
Cu1 Cu 0.500 0.500 0.500
Tc1 Tc 0.000 0.000 0.000
```

Calculated values
- E_form (eV/f.u.) = 2.4

***

(16)
Material: Cs6HgI5
Method: DFT, GGA-PBE
State: relaxed

```
data_Cs6HgI5
_cell_length_a 9.995
_cell_length_b 16.350
_cell_length_c 9.473
_cell_angle_alpha 90.00
_cell_angle_beta 108.37
_cell_angle_gamma 90.00
_space_group_name_H-M_alt 'C 1 2/m 1'
_space_group_IT_number 12
loop_
_space_group_symop_operation_xyz
'x,y,z'
'-x,-y,-z'
'-x,y,-z'
'x,-y,z'
'x+1/2,y+1/2,z'
'-x+1/2,-y+1/2,-z'
'-x+1/2,y+1/2,-z'
'x+1/2,-y+1/2,z'
loop_
_atom_site_label
_atom_site_type_symbol
_atom_site_fract_x
_atom_site_fract_y
_atom_site_fract_z
Cs1 Cs 0.233 0.000 0.242
Cs2 Cs 0.238 0.169 0.743
Hg1 Hg 0.000 0.500 0.000
I1 I 0.000 0.000 0.500
I2 I 0.000 0.176 0.000
I3 I 0.000 0.340 0.500
```

Calculated values
- energy relative to the elements, uncorrected (eV/atom) = -1.2701

***

(17)
Material: La2PmHg
Method: DFT, GGA-PBE
State: relaxed

```
data_La2PmHg
_cell_length_a 3.7763
_cell_length_b 3.7763
_cell_length_c 32.9856
_cell_angle_alpha 90.00
_cell_angle_beta 90.00
_cell_angle_gamma 120.00
_space_group_name_H-M_alt 'R 3 m'
_space_group_IT_number 160
_space_group_name_Hall 'R 3 -2"'
loop_
_atom_site_label
_atom_site_type_symbol
_atom_site_fract_x
_atom_site_fract_y
_atom_site_fract_z
La1 La 0.0000 0.0000 0.0000
La2 La 0.0000 0.0000 0.1801
Pm1 Pm 0.0000 0.0000 0.7572
Hg1 Hg 0.0000 0.0000 0.5897
```

Calculated values
- E_form (eV/f.u.) = -0.6

***

(18)
Material: LiAlOs4
Method: DFT, GGA-PBE
State: relaxed

```
data_LiAlOs4
_cell_length_a 7.262
_cell_length_b 7.262
_cell_length_c 7.262
_cell_angle_alpha 90.00
_cell_angle_beta 90.00
_cell_angle_gamma 90.00
_space_group_name_H-M_alt 'F -4 3 m'
_space_group_IT_number 216
_space_group_name_Hall 'F -4 2 3'
loop_
_atom_site_label
_atom_site_type_symbol
_atom_site_fract_x
_atom_site_fract_y
_atom_site_fract_z
Li1 Li 0.000 0.000 0.000
Al1 Al 0.250 0.250 0.250
Os1 Os 0.125 0.125 0.625
```

Calculated values
- E_form (eV/f.u.) = 2.7

***

(19)
Material: CaLa4Y15
Method: DFT, GGA-PBE
State: relaxed

```
data_CaLa4Y15
_cell_length_a 5.148
_cell_length_b 5.148
_cell_length_c 25.509
_cell_angle_alpha 90.00
_cell_angle_beta 90.00
_cell_angle_gamma 90.00
_space_group_name_H-M_alt 'P 4/m m m'
_space_group_IT_number 123
_space_group_name_Hall '-P 4 2'
loop_
_atom_site_label
_atom_site_type_symbol
_atom_site_fract_x
_atom_site_fract_y
_atom_site_fract_z
Ca1 Ca 0.000 0.000 0.000
La1 La 0.000 0.000 0.201
La2 La 0.000 0.000 0.400
Y1 Y 0.000 0.500 0.103
Y2 Y 0.000 0.500 0.301
Y3 Y 0.000 0.500 0.500
Y4 Y 0.500 0.500 0.000
Y5 Y 0.500 0.500 0.200
Y6 Y 0.500 0.500 0.400
```

Calculated values
- E_form (eV/f.u.) = 1.0

***

(20)
Material: YAl
Method: DFT, GGA-PBE
State: relaxed

```
data_YAl
_cell_length_a 9.027
_cell_length_b 7.480
_cell_length_c 5.600
_cell_angle_alpha 90.00
_cell_angle_beta 90.00
_cell_angle_gamma 90.00
_space_group_name_H-M_alt 'C m c m'
_space_group_IT_number 63
_space_group_name_Hall '-C 2c 2'
loop_
_atom_site_label
_atom_site_type_symbol
_atom_site_fract_x
_atom_site_fract_y
_atom_site_fract_z
Y1 Y 0.186 0.152 0.250
Al1 Al 0.000 0.189 0.750
Al2 Al 0.000 0.500 0.000
```

Calculated values
- E_form (eV/f.u.) = -0.9